VASP calculation (PBE) on a geometry-optimized Li2GaMo structure.

a = 6.134 Å, b = 6.134 Å, c = 6.134 Å
α = 90.00°, β = 90.00°, γ = 90.00°
Space group F-43m (No. 216)
Symmetry-distinct sites (fractional):
Li1 0.000 0.000 0.000 (multiplicity 4)
Li2 0.250 0.250 0.250 (multiplicity 4)
Ga1 0.000 0.000 0.500 (multiplicity 4)
Mo1 0.250 0.250 0.750 (multiplicity 4)


VASP calculation (PBE) on a geometry-optimized Sr2CoOsS6 structure.

a = 6.7848 Å, b = 6.7848 Å, c = 14.8144 Å
α = 90.00°, β = 90.00°, γ = 120.00°
Space group R3 (No. 146, hexagonal axes)
Symmetry-distinct sites (fractional):
Sr1 0.0000 0.0000 0.0000 (multiplicity 3)
Sr2 0.0000 0.0000 0.4783 (multiplicity 3)
Co1 0.0000 0.0000 0.2412 (multiplicity 3)
Os1 0.0000 0.0000 0.7211 (multiplicity 3)
S1 0.0124 0.5829 0.4935 (multiplicity 9)
S2 0.0882 0.3340 0.3132 (multiplicity 9)


VASP calculation (PBE) on a geometry-optimized ZrBeSi structure.

Offset from the most stable computed form, eV per atom: 1.096

a = 6.068 Å, b = 6.068 Å, c = 6.068 Å
α = 90.00°, β = 90.00°, γ = 90.00°
Space group F-43m (No. 216)
Symmetry-distinct sites (fractional):
Zr1 0.000 0.000 0.000 (multiplicity 4)
Be1 0.250 0.250 0.750 (multiplicity 4)
Si1 0.250 0.250 0.250 (multiplicity 4)


VASP calculation (PBE) on a geometry-optimized HfCoReSi structure.

Offset from the most stable computed form, eV per atom: 0.000

a = 6.116 Å, b = 6.116 Å, c = 6.116 Å
α = 90.00°, β = 90.00°, γ = 90.00°
Space group F-43m (No. 216)
Symmetry-distinct sites (fractional):
Hf1 0.000 0.000 0.000 (multiplicity 4)
Co1 0.250 0.250 0.750 (multiplicity 4)
Re1 0.250 0.250 0.250 (multiplicity 4)
Si1 0.000 0.000 0.500 (multiplicity 4)


VASP calculation (PBE) on a geometry-optimized Li2Cd2In2NiAu structure.

a = 4.572 Å, b = 4.572 Å, c = 6.636 Å
α = 90.00°, β = 90.00°, γ = 90.00°
Space group P-4m2 (No. 115)
Symmetry-distinct sites (fractional):
Li1 0.000 0.000 0.000 (multiplicity 1)
Li2 0.500 0.500 0.500 (multiplicity 1)
Cd1 0.000 0.500 0.235 (multiplicity 2)
In1 0.000 0.500 0.770 (multiplicity 2)
Ni1 0.500 0.500 0.000 (multiplicity 1)
Au1 0.000 0.000 0.500 (multiplicity 1)


VASP calculation (PBE) on a geometry-optimized BaBiSbPtAu structure.

Offset from the most stable computed form, eV per atom: 0.000

a = 4.984 Å, b = 4.911 Å, c = 11.077 Å
α = 90.00°, β = 91.68°, γ = 90.00°
Space group P2_1/m (No. 11)
Symmetry-distinct sites (fractional):
Ba1 0.232 0.250 0.255 (multiplicity 2)
Bi1 0.296 0.250 0.859 (multiplicity 2)
Sb1 0.251 0.750 0.499 (multiplicity 2)
Pt1 0.256 0.250 0.606 (multiplicity 2)
Au1 0.196 0.750 0.999 (multiplicity 2)


Number 1: E -4.199 eV per atom. Number 2: E -5.365 eV per atom. Number 3: E -5.559 eV per atom. Number 4: E -9.034 eV per atom. Number 5: E -2.765 eV per atom. Number 6: E -4.565 eV per atom.